8
Lattice="4.056 0.000 0.000 2.028 7.002 0.000 2.028 0.000 7.002" Properties=species:S:1:pos:R:3 comment="GGA-PBEsol Na2CrB, relaxed" ef_kj_per_mol_fu=378 final_energy_ev_per_cell=-32.3 total_magnetization_mub_per_atom=0.90 volume_a3_per_atom=24.85 pbc="T T T"
Cr 0.000 0.000 0.000
Cr 5.070 3.501 3.501
B 2.028 0.000 0.000
B 3.042 3.501 3.501
Na 6.590 5.844 4.658
Na 2.535 1.157 2.343
Na 3.549 4.658 1.157
Na 3.549 2.343 5.844